## P
Computed, not measured: crystalline LiLaPr2 at its relaxed geometry at the PBE level of DFT.

Calculated values
symmetry = No. 225
total magnetization = 0.2702 μB/atom

The structure in extended XYZ format:
```
4
Lattice="5.669 0.000 0.000 2.835 4.910 0.000 2.835 1.637 4.629" Properties=species:S:1:pos:R:3 pbc="T T T"
Li 5.669 3.273 2.315
La 0.000 0.000 0.000
Pr 8.504 4.910 3.472
Pr 2.835 1.637 1.157
```

## Q
Computed, not measured: crystalline LiLaPr2 at its relaxed geometry at the PBE level of DFT.

Calculated values
symmetry = No. 166
total magnetization = 0.0000 μB/atom

The structure in extended XYZ format:
```
4
Lattice="3.643 0.000 0.000 1.822 3.155 0.000 1.822 1.052 11.612" Properties=species:S:1:pos:R:3 pbc="T T T"
Pr 5.465 3.155 8.841
Li 0.000 0.000 0.000
La 3.643 2.103 5.806
Pr 1.822 1.052 2.771
```

Computed energies relative to the best structure, in eV/atom: P 0.125; Q 0.000

## P
Computed, not measured: crystalline LiLaPr2 at its relaxed geometry at the PBE level of DFT.

Calculated values
symmetry = No. 123
total magnetization = 0.0000 μB/atom

The structure in extended XYZ format:
```
4
Lattice="-0.632 0.983 3.524 -3.875 -4.456 0.548 4.375 -3.585 1.783" Properties=species:S:1:pos:R:3 pbc="T T T"
La -0.066 -3.529 2.928
Pr -1.937 -2.228 0.274
Pr 2.187 -1.792 0.892
Li -0.316 0.491 1.762
```

## Q
Computed, not measured: crystalline LiLaPr2 at its relaxed geometry at the PBE level of DFT.

Calculated values
symmetry = No. 156
total magnetization = 0.0000 μB/atom

The structure in extended XYZ format:
```
4
Lattice="-1.976 1.493 2.638 -1.625 -1.324 -2.950 -0.975 -10.834 5.402" Properties=species:S:1:pos:R:3 pbc="T T T"
Pr -2.107 -2.195 2.146
Li -2.370 -5.123 3.606
La -0.008 -0.088 0.044
Pr -2.483 -8.609 3.013
```

Computed energies relative to the best structure, in eV/atom: P 0.000; Q 0.006

## P
Computed, not measured: crystalline LiLa2Pr at its relaxed geometry at the PBE level of DFT.

Calculated values
symmetry = No. 160
total magnetization = 0.0003 μB/atom

The structure in extended XYZ format:
```
4
Lattice="-0.420 1.665 3.240 2.382 -0.641 2.713 7.291 9.256 -1.738" Properties=species:S:1:pos:R:3 pbc="T T T"
La 2.249 2.483 1.090
La 5.696 7.113 -0.843
Pr 4.632 5.147 2.105
Li 8.594 9.932 2.234
```

## Q
Computed, not measured: crystalline LiLa2Pr at its relaxed geometry at the PBE level of DFT.

Calculated values
symmetry = No. 156
total magnetization = 0.0000 μB/atom

The structure in extended XYZ format:
```
4
Lattice="-3.328 0.596 -1.329 0.421 -1.945 3.039 -0.828 10.237 6.664" Properties=species:S:1:pos:R:3 pbc="T T T"
La -2.287 2.332 1.809
Li -2.513 5.117 3.622
Pr -0.007 0.081 0.053
La -1.458 6.686 6.651
```

## R
Computed, not measured: crystalline LiLa2Pr at its relaxed geometry at the PBE level of DFT.

Calculated values
symmetry = No. 225
total magnetization = 0.0000 μB/atom

The structure in extended XYZ format:
```
4
Lattice="-2.285 -1.932 -4.895 -0.348 -5.644 -0.973 -5.109 -2.611 0.053" Properties=species:S:1:pos:R:3 pbc="T T T"
Pr 0.000 0.000 0.000
Li -3.871 -5.093 -2.908
La -5.806 -7.640 -4.361
La -1.935 -2.547 -1.454
```

## S
Computed, not measured: crystalline LiLa2Pr at its relaxed geometry at the PBE level of DFT.

Calculated values
symmetry = No. 123
total magnetization = 0.0000 μB/atom

The structure in extended XYZ format:
```
4
Lattice="3.735 0.000 0.000 0.000 3.735 0.000 0.000 0.000 9.453" Properties=species:S:1:pos:R:3 pbc="T T T"
Pr 1.868 1.868 4.726
La 0.000 0.000 7.297
La 0.000 0.000 2.155
Li 1.868 1.868 0.000
```

Computed energies relative to the best structure, in eV/atom: P 0.035; Q 0.068; R 0.110; S 0.000

## P
Computed, not measured: crystalline Li2LaPr at its relaxed geometry at the PBE level of DFT.

Calculated values
symmetry = No. 123
total magnetization = 0.1679 μB/atom

The structure in extended XYZ format:
```
4
Lattice="3.873 0.000 0.000 0.000 3.873 0.000 0.000 0.000 7.659" Properties=species:S:1:pos:R:3 pbc="T T T"
La 1.937 1.937 3.830
Li 0.000 0.000 1.896
Li 0.000 0.000 5.763
Pr 1.937 1.937 0.000
```

## Q
Computed, not measured: crystalline Li2LaPr at its relaxed geometry at the PBE level of DFT.

Calculated values
symmetry = No. 166
total magnetization = 0.0083 μB/atom

The structure in extended XYZ format:
```
4
Lattice="-2.803 -1.932 0.122 -1.454 -1.076 -2.886 5.530 -11.069 -0.670" Properties=species:S:1:pos:R:3 pbc="T T T"
La 0.000 0.000 0.000
Li 3.676 -8.383 -0.737
Li -2.403 -5.693 -2.698
Pr 0.637 -7.038 -1.717
```

Computed energies relative to the best structure, in eV/atom: P 0.000; Q 0.098

## P
Computed, not measured: crystalline LiLaPrZn at its relaxed geometry at the PBE level of DFT.

Calculated values
symmetry = No. 216
total magnetization = 0.0010 μB/atom

The structure in extended XYZ format:
```
4
Lattice="5.349 0.000 0.000 2.675 4.633 0.000 2.675 1.544 4.368" Properties=species:S:1:pos:R:3 pbc="T T T"
Zn 0.000 0.000 0.000
Pr 2.675 1.544 1.092
Li 5.349 3.089 2.184
La 8.024 4.633 3.276
```

## Q
Computed, not measured: crystalline LiLaPrZn at its relaxed geometry at the PBE level of DFT.

Calculated values
symmetry = No. 99
total magnetization = 0.0000 μB/atom

The structure in extended XYZ format:
```
4
Lattice="-1.122 2.320 -2.847 -2.956 -2.338 -0.740 -4.247 3.849 4.809" Properties=species:S:1:pos:R:3 pbc="T T T"
Pr -4.523 2.242 1.019
Zn -1.539 1.394 1.742
Li -3.617 3.278 4.095
La -2.588 0.489 -1.172
```

Computed energies relative to the best structure, in eV/atom: P 0.016; Q 0.000

## P
Computed, not measured: crystalline Li2LaPt at its relaxed geometry at the PBE level of DFT.

Calculated values
symmetry = No. 122
total magnetization = 0.0000 μB/atom

The structure in extended XYZ format:
```
8
Lattice="-0.824 -1.600 3.722 0.356 -3.812 -1.560 9.897 -2.683 3.334" Properties=species:S:1:pos:R:3 pbc="T T T"
Li 2.483 -1.217 0.800
La -0.234 -2.706 1.081
Li 7.454 -6.259 2.404
Li 6.806 -4.531 5.300
Pt 4.420 -3.495 4.068
Li 2.114 -4.184 2.489
Pt 0.000 0.000 0.000
La 5.009 -4.601 1.427
```

## Q
Computed, not measured: crystalline Li2LaPt at its relaxed geometry at the PBE level of DFT.

Calculated values
symmetry = No. 65
total magnetization = 0.0000 μB/atom

The structure in extended XYZ format:
```
4
Lattice="-0.559 -4.805 1.841 4.062 -0.677 -0.532 0.985 1.343 3.806" Properties=species:S:1:pos:R:3 pbc="T T T"
La 3.506 -1.903 3.376
Li 0.301 0.039 0.192
Pt 0.982 -2.236 1.739
Li 2.222 0.295 1.444
```

Computed energies relative to the best structure, in eV/atom: P 0.042; Q 0.000

## P
Computed, not measured: crystalline LiLaPt3 at its relaxed geometry at the PBE level of DFT.

Calculated values
symmetry = No. 74
total magnetization = 0.0000 μB/atom

The structure in extended XYZ format:
```
10
Lattice="5.051 0.000 2.300 1.964 5.732 2.383 0.088 -0.332 6.502" Properties=species:S:1:pos:R:3 pbc="T T T"
Li 2.525 0.000 1.150
Li 3.552 2.700 5.593
Pt 3.460 5.225 5.793
Pt 3.145 1.694 3.138
Pt 1.433 3.707 6.898
Pt 0.619 1.694 1.988
La 5.603 1.193 7.784
Pt 3.643 0.176 5.393
Pt 3.958 3.707 8.048
La 1.500 4.207 3.402
```

## Q
Computed, not measured: crystalline LiLaPt3 at its relaxed geometry at the PBE level of DFT.

Calculated values
symmetry = No. 221
total magnetization = 0.0000 μB/atom

The structure in extended XYZ format:
```
5
Lattice="5.361 0.000 0.000 0.000 5.361 0.000 0.000 0.000 5.361" Properties=species:S:1:pos:R:3 pbc="T T T"
Pt 0.000 0.000 2.680
Pt 0.000 2.680 0.000
Pt 2.680 0.000 0.000
La 0.000 0.000 0.000
Li 2.680 2.680 2.680
```

## R
Computed, not measured: crystalline LiLaPt3 at its relaxed geometry at the PBE level of DFT.

Calculated values
symmetry = No. 221
total magnetization = 0.0000 μB/atom

The structure in extended XYZ format:
```
5
Lattice="-1.094 0.709 4.283 -4.338 -0.333 -1.053 0.152 -4.408 0.768" Properties=species:S:1:pos:R:3 pbc="T T T"
Pt -2.169 -0.166 -0.526
Pt 0.076 -2.204 0.384
La -2.640 -2.016 1.999
Pt -0.547 0.354 2.141
Li 0.000 0.000 0.000
```

Computed energies relative to the best structure, in eV/atom: P 0.000; Q 1.391; R 0.196

## P
Computed, not measured: crystalline Li2La2Pt at its relaxed geometry at the PBE level of DFT.

Calculated values
symmetry = No. 71
total magnetization = 0.0000 μB/atom

The structure in extended XYZ format:
```
5
Lattice="4.299 0.000 1.635 -0.768 4.613 2.019 0.129 0.151 6.129" Properties=species:S:1:pos:R:3 pbc="T T T"
Pt 0.000 0.000 0.000
La 2.877 0.940 5.372
La 0.782 3.824 4.412
Li 0.649 2.307 1.403
Li 2.882 2.307 2.252
```

## Q
Computed, not measured: crystalline Li2La2Pt at its relaxed geometry at the PBE level of DFT.

Calculated values
symmetry = No. 127
total magnetization = 0.0000 μB/atom

The structure in extended XYZ format:
```
10
Lattice="6.807 0.000 0.000 0.000 6.807 0.000 0.000 0.000 4.884" Properties=species:S:1:pos:R:3 pbc="T T T"
La 5.540 2.137 2.442
Pt 3.403 3.403 0.000
La 2.137 1.267 2.442
La 4.670 5.540 2.442
Li 4.336 0.933 0.000
Li 0.933 2.471 0.000
Li 5.874 4.336 0.000
La 1.267 4.670 2.442
Li 2.471 5.874 0.000
Pt 0.000 0.000 0.000
```

Computed energies relative to the best structure, in eV/atom: P 0.000; Q 0.186